Record 1
First-principles (GGA-PBE) data for an optimized crystal structure of CeNd7Sm12, as listed in Alexandria.

Cell lengths 8.841, 8.841, 8.841 Å; angles 91.26, 91.26, 91.26 degrees
Atoms (fractional coordinates):
Ce: 0.000 0.000 0.000
Nd: 0.043 0.330 0.947
Nd: 0.053 0.957 0.670
Nd: 0.330 0.947 0.043
Nd: 0.500 0.500 0.500
Nd: 0.670 0.053 0.957
Nd: 0.947 0.043 0.330
Nd: 0.957 0.670 0.053
Sm: 0.124 0.373 0.442
Sm: 0.216 0.757 0.362
Sm: 0.243 0.638 0.784
Sm: 0.362 0.216 0.757
Sm: 0.373 0.442 0.124
Sm: 0.442 0.124 0.373
Sm: 0.558 0.876 0.627
Sm: 0.627 0.558 0.876
Sm: 0.638 0.784 0.243
Sm: 0.757 0.362 0.216
Sm: 0.784 0.243 0.638
Sm: 0.876 0.627 0.558

formation enthalpy at 0 K = 427 kJ/mol of formula units
ρ = 7.1 g/cm3

Record 2
First-principles (GGA-PBE) data for an optimized crystal structure of Li12Cd3F5, as listed in Alexandria.

Cell lengths 11.891, 11.891, 11.891 Å; angles 109.47, 109.47, 109.47 degrees
Atoms (fractional coordinates):
Li: 0.001 0.689 0.102
Li: 0.001 0.812 0.899
Li: 0.086 0.688 0.689
Li: 0.086 0.899 0.398
Li: 0.101 0.602 0.914
Li: 0.101 0.999 0.188
Li: 0.102 0.001 0.689
Li: 0.102 0.601 0.414
Li: 0.188 0.101 0.999
Li: 0.188 0.586 0.189
Li: 0.189 0.188 0.586
Li: 0.189 0.501 0.602
Li: 0.311 0.898 0.999
Li: 0.311 0.914 0.312
Li: 0.312 0.311 0.914
Li: 0.312 0.501 0.399
Li: 0.398 0.086 0.899
Li: 0.398 0.811 0.499
Li: 0.399 0.312 0.501
Li: 0.399 0.586 0.898
Li: 0.414 0.102 0.601
Li: 0.414 0.811 0.812
Li: 0.499 0.398 0.811
Li: 0.499 0.601 0.688
Li: 0.501 0.399 0.312
Li: 0.501 0.602 0.189
Li: 0.586 0.189 0.188
Li: 0.586 0.898 0.399
Li: 0.601 0.414 0.102
Li: 0.601 0.688 0.499
Li: 0.602 0.189 0.501
Li: 0.602 0.914 0.101
Li: 0.688 0.499 0.601
Li: 0.688 0.689 0.086
Li: 0.689 0.086 0.688
Li: 0.689 0.102 0.001
Li: 0.811 0.499 0.398
Li: 0.811 0.812 0.414
Li: 0.812 0.414 0.811
Li: 0.812 0.899 0.001
Li: 0.898 0.399 0.586
Li: 0.898 0.999 0.311
Li: 0.899 0.001 0.812
Li: 0.899 0.398 0.086
Li: 0.914 0.101 0.602
Li: 0.914 0.312 0.311
Li: 0.999 0.188 0.101
Li: 0.999 0.311 0.898
Cd: 0.125 0.250 0.375
Cd: 0.125 0.375 0.750
Cd: 0.250 0.375 0.125
Cd: 0.250 0.875 0.625
Cd: 0.375 0.125 0.250
Cd: 0.375 0.750 0.125
Cd: 0.625 0.250 0.875
Cd: 0.625 0.875 0.750
Cd: 0.750 0.125 0.375
Cd: 0.750 0.625 0.875
Cd: 0.875 0.625 0.250
Cd: 0.875 0.750 0.625
F: 0.000 0.000 0.000
F: 0.000 0.000 0.500
F: 0.000 0.500 0.000
F: 0.000 0.500 0.500
F: 0.125 0.750 0.875
F: 0.125 0.875 0.250
F: 0.250 0.125 0.875
F: 0.250 0.625 0.375
F: 0.375 0.250 0.625
F: 0.375 0.625 0.750
F: 0.500 0.000 0.000
F: 0.500 0.000 0.500
F: 0.500 0.500 0.000
F: 0.500 0.500 0.500
F: 0.625 0.375 0.250
F: 0.625 0.750 0.375
F: 0.750 0.375 0.625
F: 0.750 0.875 0.125
F: 0.875 0.125 0.750
F: 0.875 0.250 0.125

ρ = 2.6 g/cm3
uncorrected formation energy = -1.3136 eV/atom

Record 3
First-principles (GGA-PBE) data for an optimized crystal structure of AlInP, as listed in Alexandria.

Cell lengths 4.669, 4.669, 4.669 Å; angles 60.00, 60.00, 60.00 degrees
Atoms (fractional coordinates):
Al: 0.000 0.000 0.000
In: 0.750 0.750 0.750
P: 0.500 0.500 0.500

offset from the most stable computed form = 0.631 eV per atom
formation enthalpy at 0 K = 140 kJ/mol of formula units
ρ = 4.0 g/cm3

Record 4
First-principles (GGA-PBE) data for an optimized crystal structure of Hf2ScU, as listed in Alexandria.

Cell lengths 5.121, 5.121, 5.121 Å; angles 57.82, 57.82, 57.82 degrees
Atoms (fractional coordinates):
Hf: 0.234 0.234 0.234
Hf: 0.766 0.766 0.766
Sc: 0.000 0.000 0.000
U: 0.500 0.500 0.500

offset from the most stable computed form = 0.031 eV per atom
formation enthalpy at 0 K = 125 kJ/mol of formula units
ρ = 11.8 g/cm3

Record 5
First-principles (GGA-PBE) data for an optimized crystal structure of CaNd3, as listed in Alexandria.

Cell lengths 5.905, 5.905, 5.905 Å; angles 60.00, 60.00, 60.00 degrees
Atoms (fractional coordinates):
Ca: 0.000 0.000 0.000
Nd: 0.250 0.250 0.250
Nd: 0.500 0.500 0.500
Nd: 0.750 0.750 0.750

offset from the most stable computed form = 0.082 eV per atom
formation enthalpy at 0 K = 49 kJ/mol of formula units
ρ = 5.4 g/cm3

Record 6
First-principles (GGA-PBE) data for an optimized crystal structure of NaMoOs2Ru, as listed in Alexandria.

Cell lengths 4.377, 4.377, 4.335 Å; angles 90.00, 90.00, 90.00 degrees
Atoms (fractional coordinates):
Na: 0.000 0.000 0.000
Mo: 0.000 0.000 0.500
Os: 0.000 0.500 0.000
Os: 0.500 0.000 0.000
Ru: 0.500 0.500 0.500

formation enthalpy at 0 K = 1374 kJ/mol of formula units
ρ = 12.0 g/cm3

Record 7
First-principles (GGA-PBE) data for an optimized crystal structure of TbNd5S8, as listed in Alexandria.

Cell lengths 7.432, 7.432, 7.432 Å; angles 108.54, 108.54, 111.35 degrees
Atoms (fractional coordinates):
Tb: 0.000 0.000 0.000
Nd: 0.227 0.127 0.605
Nd: 0.378 0.773 0.900
Nd: 0.522 0.622 0.395
Nd: 0.750 0.250 0.500
Nd: 0.873 0.478 0.100
S: 0.118 0.371 0.385
S: 0.129 0.373 0.898
S: 0.268 0.882 0.253
S: 0.474 0.231 0.102
S: 0.627 0.526 0.757
S: 0.629 0.014 0.747
S: 0.769 0.871 0.243
S: 0.986 0.732 0.615

ρ = 6.0 g/cm3
uncorrected formation energy = -2.0154 eV/atom

Record 8
First-principles (GGA-PBE) data for an optimized crystal structure of Al2SbBr, as listed in Alexandria.

Cell lengths 6.638, 6.638, 6.638 Å; angles 112.71, 112.71, 103.18 degrees
Atoms (fractional coordinates):
Al: 0.112 0.625 0.987
Al: 0.375 0.362 0.487
Al: 0.638 0.125 0.013
Al: 0.875 0.888 0.513
Sb: 0.000 0.000 0.000
Sb: 0.750 0.250 0.500
Br: 0.250 0.750 0.500
Br: 0.500 0.500 0.000

offset from the most stable computed form = 0.288 eV per atom
ρ = 3.8 g/cm3
uncorrected formation energy = 0.1561 eV/atom

Record 9
First-principles (GGA-PBE) data for an optimized crystal structure of ReI3N, as listed in Alexandria.

Cell lengths 4.809, 4.809, 4.809 Å; angles 90.00, 90.00, 90.00 degrees
Atoms (fractional coordinates):
Re: 0.000 0.000 0.000
I: 0.000 0.500 0.500
I: 0.500 0.000 0.500
I: 0.500 0.500 0.000
N: 0.500 0.500 0.500

ρ = 8.7 g/cm3
uncorrected formation energy = 2.1146 eV/atom

Number 1: VASP energy -91.52 eV/cell. Number 2: VASP energy -245.36 eV/cell. Number 3: VASP energy -10.44 eV/cell. Number 4: VASP energy -36.23 eV/cell. Number 5: VASP energy -15.79 eV/cell. Number 6: VASP energy -29.64 eV/cell. Number 7: VASP energy -89.70 eV/cell. Number 8: VASP energy -25.31 eV/cell. Number 9: VASP energy -14.85 eV/cell.